Entry 1:
Entry from Alexandria: a geometry-optimized KScSi structure (PBE).

Results
* VASP energy: -4.525 eV/atom
* polymorph energy (0 for the lowest one): 41 meV/atom
* total moment: 0.000 μB/atom
* V: 183.2 Å³ per cell
* symmetry: P2_1/m, No. 11
* theoretical density: 2.03 g cm⁻³

Cell lengths 3.766, 3.766, 12.914 Å; angles 90.00, 90.59, 90.00 degrees
Atoms (fractional coordinates):
K (0.238, 0.250, 0.162)
K (0.762, 0.750, 0.838)
Sc (0.247, 0.250, 0.420)
Sc (0.753, 0.750, 0.580)
Si (0.255, 0.250, 0.636)
Si (0.745, 0.750, 0.364)

Entry 2:
Entry from Alexandria: a geometry-optimized KScSi structure (PBE).

Results
* VASP energy: -3.991 eV/atom
* polymorph energy (0 for the lowest one): 575 meV/atom
* total moment: 0.105 μB/atom
* V: 88.4 Å³ per cell
* symmetry: P3m1, No. 156
* theoretical density: 2.11 g cm⁻³

Cell lengths 3.588, 3.588, 7.931 Å; angles 90.00, 90.00, 120.00 degrees
Atoms (fractional coordinates):
K (0.000, 0.000, 0.000)
Sc (0.667, 0.333, 0.457)
Si (0.333, 0.667, 0.676)

Entry 3:
Entry from Alexandria: a geometry-optimized KScSi structure (PBE).

Results
* VASP energy: -4.566 eV/atom
* polymorph energy (0 for the lowest one): 0 meV/atom
* total moment: 0.000 μB/atom
* V: 188.5 Å³ per cell
* symmetry: P-1, No. 2
* theoretical density: 1.98 g cm⁻³

Cell lengths 3.677, 4.030, 12.874 Å; angles 98.90, 90.36, 90.00 degrees
Atoms (fractional coordinates):
K (0.243, 0.332, 0.157)
K (0.757, 0.668, 0.843)
Sc (0.252, 0.050, 0.601)
Sc (0.748, 0.950, 0.399)
Si (0.248, 0.467, 0.433)
Si (0.752, 0.533, 0.567)

Entry 4:
Entry from Alexandria: a geometry-optimized K2ScSi structure (PBE).

Results
* VASP energy: -3.503 eV/atom
* total moment: 0.000 μB/atom
* V: 152.7 Å³ per cell
* symmetry: C2/m, No. 12
* theoretical density: 1.64 g cm⁻³

Cell lengths 10.732, 10.732, 3.936 Å; angles 100.51, 100.51, 20.05 degrees
Atoms (fractional coordinates):
K (0.155, 0.155, 0.154)
K (0.845, 0.845, 0.846)
Sc (0.000, 0.000, 0.500)
Si (0.500, 0.500, 0.000)

Entry 5:
Entry from Alexandria: a geometry-optimized KScSi structure (PBE).

Results
* VASP energy: -4.318 eV/atom
* polymorph energy (0 for the lowest one): 248 meV/atom
* total moment: 0.000 μB/atom
* V: 92.3 Å³ per cell
* symmetry: I4mm, No. 107
* theoretical density: 2.02 g cm⁻³

Cell lengths 7.017, 7.017, 7.017 Å; angles 148.82, 148.82, 44.67 degrees
Atoms (fractional coordinates):
K (0.000, 0.000, 0.000)
Sc (0.257, 0.257, 0.000)
Si (0.734, 0.734, 0.000)

Entry 6:
Entry from Alexandria: a geometry-optimized KSc2Si structure (PBE).

Results
* VASP energy: -4.809 eV/atom
* total moment: 0.000 μB/atom
* V: 112.9 Å³ per cell
* symmetry: Pmmm, No. 47
* theoretical density: 2.31 g cm⁻³

Cell lengths 3.191, 3.600, 9.830 Å; angles 90.00, 90.00, 90.00 degrees
Atoms (fractional coordinates):
K (0.000, 0.000, 0.000)
Sc (0.500, 0.500, 0.349)
Sc (0.500, 0.500, 0.651)
Si (0.000, 0.000, 0.500)

Entry 7:
Entry from Alexandria: a geometry-optimized KSc2Si structure (PBE).

Results
* VASP energy: -4.790 eV/atom
* total moment: 0.189 μB/atom
* V: 117.3 Å³ per cell
* symmetry: P4mm, No. 99
* theoretical density: 2.22 g cm⁻³

Cell lengths 3.692, 3.692, 8.605 Å; angles 90.00, 90.00, 90.00 degrees
Atoms (fractional coordinates):
K (0.000, 0.000, 0.000)
Sc (0.000, 0.000, 0.604)
Sc (0.500, 0.500, 0.382)
Si (0.500, 0.500, 0.689)

Entry 8:
Entry from Alexandria: a geometry-optimized KSc2Si structure (PBE).

Results
* VASP energy: -4.775 eV/atom
* total moment: 0.000 μB/atom
* V: 135.8 Å³ per cell
* symmetry: R-3m, No. 166
* theoretical density: 1.92 g cm⁻³

Cell lengths 10.792, 10.792, 10.792 Å; angles 20.57, 20.57, 20.57 degrees
Atoms (fractional coordinates):
K (0.000, 0.000, 0.000)
Sc (0.122, 0.122, 0.122)
Sc (0.878, 0.878, 0.878)
Si (0.500, 0.500, 0.500)

Entry 9:
Entry from Alexandria: a geometry-optimized KSc2Si structure (PBE).

Results
* VASP energy: -4.628 eV/atom
* total moment: 0.006 μB/atom
* V: 125.9 Å³ per cell
* symmetry: Cm, No. 8
* theoretical density: 2.07 g cm⁻³

Cell lengths 5.147, 5.147, 8.348 Å; angles 106.97, 106.97, 36.75 degrees
Atoms (fractional coordinates):
K (0.000, 0.000, 0.000)
Sc (0.157, 0.157, 0.634)
Sc (0.374, 0.374, 0.410)
Si (0.640, 0.640, 0.369)

Entry 10:
Entry from Alexandria: a geometry-optimized K2ScSi structure (PBE).

Results
* VASP energy: -2.913 eV/atom
* total moment: 0.274 μB/atom
* V: 125.1 Å³ per cell
* symmetry: Pmmm, No. 47
* theoretical density: 2.01 g cm⁻³

Cell lengths 3.617, 5.798, 5.962 Å; angles 90.00, 90.00, 90.00 degrees
Atoms (fractional coordinates):
K (0.000, 0.000, 0.237)
K (0.000, 0.000, 0.763)
Sc (0.500, 0.500, 0.500)
Si (0.500, 0.500, 0.000)

> Which formula does entry 10 have?

K2ScSi

What did the third record say?
Entry from Alexandria: a geometry-optimized KScSi structure (PBE).

Results
* VASP energy: -4.566 eV/atom
* polymorph energy (0 for the lowest one): 0 meV/atom
* total moment: 0.000 μB/atom
* V: 188.5 Å³ per cell
* symmetry: P-1, No. 2
* theoretical density: 1.98 g cm⁻³

Cell lengths 3.677, 4.030, 12.874 Å; angles 98.90, 90.36, 90.00 degrees
Atoms (fractional coordinates):
K (0.243, 0.332, 0.157)
K (0.757, 0.668, 0.843)
Sc (0.252, 0.050, 0.601)
Sc (0.748, 0.950, 0.399)
Si (0.248, 0.467, 0.433)
Si (0.752, 0.533, 0.567)

Copy entry 10 word for word.
Entry from Alexandria: a geometry-optimized K2ScSi structure (PBE).

Results
* VASP energy: -2.913 eV/atom
* total moment: 0.274 μB/atom
* V: 125.1 Å³ per cell
* symmetry: Pmmm, No. 47
* theoretical density: 2.01 g cm⁻³

Cell lengths 3.617, 5.798, 5.962 Å; angles 90.00, 90.00, 90.00 degrees
Atoms (fractional coordinates):
K (0.000, 0.000, 0.237)
K (0.000, 0.000, 0.763)
Sc (0.500, 0.500, 0.500)
Si (0.500, 0.500, 0.000)